(1)
Density functional theory data (PBE-GGA) for a geometry-optimized HoPu2Ge3 structure.

```
HoPu2Ge3
1.0
-0.0215 5.8565 -0.8226
-7.9256 -0.7767 -5.3228
-0.9369 -2.1441 6.0185
Ge Pu Ho
6 4 2
Direct
0.4999 0.2500 0.0000
0.1676 0.0838 0.3350
0.8324 0.9162 0.6650
0.5001 0.7500 0.0000
0.1674 0.5838 0.3350
0.8326 0.4162 0.6650
0.6619 0.0809 0.3236
0.3381 0.9191 0.6764
0.6617 0.5809 0.3236
0.3383 0.4191 0.6764
0.0001 0.7500 0.0000
0.9999 0.2500 0.0000
```

Results
* symmetry: Immm (71)

=====

(2)
Density functional theory data (PBE-GGA) for a geometry-optimized HoPu2Ge structure.

```
HoPu2Ge
1.0
3.4655 0.0000 0.0000
1.7328 3.0012 0.0000
1.7328 1.0004 10.3801
Ho Pu Ge
1 2 1
Direct
0.5000 0.5000 0.5000
0.7378 0.7378 0.7865
0.2622 0.2622 0.2135
0.0000 0.0000 0.0000
```

Results
* symmetry: R-3m (166)

=====

(3)
Density functional theory data (PBE-GGA) for a geometry-optimized HoPuGe structure.

```
HoPuGe
1.0
-3.0385 -1.9461 -0.1996
1.2405 -2.3554 4.0816
-2.6365 4.0904 0.2529
Pu Ge Ho
1 1 1
Direct
0.2907 0.3333 0.6667
0.9724 0.0000 0.0000
0.7369 0.6667 0.3333
```

Results
* symmetry: P3m1 (156)

=====

Number 1: calculated total energy -98.5 eV/cell, energy relative to the elements -360.0 meV/atom. Number 2: calculated total energy -37.7 eV/cell, energy relative to the elements 37.4 meV/atom. Number 3: calculated total energy -24.2 eV/cell, energy relative to the elements -224.3 meV/atom.